(1)
First-principles (meta-GGA SCAN) data for HfMoI2 at its PBEsol-relaxed geometry, as listed in Alexandria.

The uncorrected formation energy is 5.0 eV per formula unit. For the density of states at the Fermi level, the calculation gives 4.7 states/eV/f.u.

The structure belongs to space group I-42d (No. 122); the cell edges are 6.481, 6.481 and 10.989 Å and the angles 90.00°, 90.00° and 90.00°. The inequivalent atoms are Hf at (0.000, 0.000, 0.000), Mo at (0.000, 0.000, 0.500) and I at (0.228, 0.250, 0.625).

=====

(2)
First-principles (meta-GGA SCAN) data for Hf2NbMoI at its PBEsol-relaxed geometry, as listed in Alexandria.

The uncorrected formation energy is 7.0 eV per formula unit. For the density of states at the Fermi level, the calculation gives 4.5 states/eV/f.u.

The structure belongs to space group P4/mmm (No. 123); the cell edges are 4.922, 4.922 and 5.062 Å and the angles 90.00°, 90.00° and 90.00°. The inequivalent atoms are Hf at (0.000, 0.500, 0.000), Nb at (0.000, 0.000, 0.500), Mo at (0.500, 0.500, 0.000) and I at (0.500, 0.500, 0.500).

=====

(3)
First-principles (meta-GGA SCAN) data for HfIN at its PBEsol-relaxed geometry, as listed in Alexandria.

The uncorrected formation energy is -4.8 eV per formula unit.

The structure belongs to space group R-3m (No. 166, hexagonal axes); the cell edges are 3.6586, 3.6586 and 31.7402 Å and the angles 90.00°, 90.00° and 120.00°. The inequivalent atoms are Hf at (0.0000, 0.0000, 0.2063), I at (0.0000, 0.0000, 0.3917) and N at (0.0000, 0.0000, 0.1394).

=====

Question: uncorrected formation energy of number 3 (HfIN)?
Answer: -4.8 eV per formula unit